DFT (PBE) results for a relaxed structure of RbNa2CN2.

Unit cell a=4.7878 b=17.2114 c=3.6759 alpha=90.00 beta=90.00 gamma=90.00
Fractional coordinates of all 12 atoms:
Rb1 0.0000 0.0000 0.0000
Rb2 0.5000 0.5000 0.5000
Na1 0.0012 0.3370 0.5000
Na2 0.4988 0.8370 0.0000
Na3 0.5012 0.1630 0.0000
Na4 0.9988 0.6630 0.5000
C1 0.0000 0.5000 0.0000
C2 0.5000 0.0000 0.5000
N1 0.0016 0.4278 0.0000
N2 0.4984 0.9278 0.5000
N3 0.5016 0.0722 0.5000
N4 0.9984 0.5722 0.0000

final energy	-5.2124	eV per atom
energy relative to the elements, uncorrected	-299.0	meV per atom

---

DFT (PBE) results for a relaxed structure of LaAl2SiOs2.

Unit cell a=4.4724 b=4.4724 c=5.8084 alpha=90.00 beta=90.00 gamma=90.00
Fractional coordinates of all 6 atoms:
La1 0.0000 0.0000 0.0000
Al1 0.5000 0.5000 0.2404
Al2 0.5000 0.5000 0.7596
Si1 0.0000 0.0000 0.5000
Os1 0.0000 0.5000 0.5000
Os2 0.5000 0.0000 0.5000

final energy	-6.9860	eV per atom
energy relative to the elements, uncorrected	-270.2	meV per atom

---

DFT (PBE) results for a relaxed structure of UGaSi.

Unit cell a=5.4946 b=5.4946 c=5.4946 alpha=132.28 beta=113.03 gamma=86.34
Fractional coordinates of all 6 atoms:
U1 0.2041 0.0000 0.2041
U2 0.7959 0.0000 0.7959
Ga1 0.3441 0.3441 0.0000
Ga2 0.6559 0.6559 0.0000
Si1 0.1847 0.6847 0.5000
Si2 0.8153 0.3153 0.5000

final energy	-6.8093	eV per atom
energy relative to the elements, uncorrected	-230.0	meV per atom

---

DFT (PBE) results for a relaxed structure of TbGdGePd.

Unit cell a=5.0447 b=5.0447 c=5.0447 alpha=60.00 beta=60.00 gamma=60.00
Fractional coordinates of all 4 atoms:
Tb1 0.0000 0.0000 0.0000
Gd1 0.5000 0.5000 0.5000
Ge1 0.7500 0.7500 0.7500
Pd1 0.2500 0.2500 0.2500

ΔH_f (0 K)	-0.795	eV per atom
final energy	-7.9258	eV per atom

---

DFT (PBE) results for a relaxed structure of Ti3BAs.

Unit cell a=4.2299 b=4.2299 c=4.2299 alpha=90.00 beta=90.00 gamma=90.00
Fractional coordinates of all 5 atoms:
Ti1 0.0000 0.0000 0.5000
Ti2 0.0000 0.5000 0.0000
Ti3 0.5000 0.0000 0.0000
B1 0.0000 0.0000 0.0000
As1 0.5000 0.5000 0.5000

ΔH_f (0 K)	-0.409	eV per atom
final energy	-7.4113	eV per atom

---

DFT (PBE) results for a relaxed structure of Li6InAg6.

Unit cell a=5.5702 b=5.5702 c=9.0269 alpha=90.00 beta=90.00 gamma=120.00
Fractional coordinates of all 13 atoms:
Li1 0.0000 0.0000 0.1724
Li2 0.0000 0.0000 0.8276
Li3 0.3333 0.6667 0.0000
Li4 0.3333 0.6667 0.5000
Li5 0.6667 0.3333 0.0000
Li6 0.6667 0.3333 0.5000
In1 0.0000 0.0000 0.5000
Ag1 0.0000 0.5000 0.2547
Ag2 0.0000 0.5000 0.7453
Ag3 0.5000 0.0000 0.2547
Ag4 0.5000 0.0000 0.7453
Ag5 0.5000 0.5000 0.2547
Ag6 0.5000 0.5000 0.7453

ΔH_f (0 K)	-0.146	eV per atom
final energy	-2.5555	eV per atom

---

DFT (PBE) results for a relaxed structure of MgN2Cl.

Unit cell a=6.3994 b=6.3994 c=6.3994 alpha=29.69 beta=29.69 gamma=29.69
Fractional coordinates of all 4 atoms:
Mg1 0.0000 0.0000 0.0000
N1 0.1100 0.1100 0.1100
N2 0.8900 0.8900 0.8900
Cl1 0.5000 0.5000 0.5000

final energy	-3.1659	eV per atom
energy relative to the elements, uncorrected	1857.1	meV per atom

---

DFT (PBE) results for a relaxed structure of ErCoGe2Ir.

Unit cell a=5.8816 b=5.8816 c=5.8816 alpha=139.79 beta=139.79 gamma=58.17
Fractional coordinates of all 5 atoms:
Er1 0.0000 0.0000 0.0000
Co1 0.7500 0.2500 0.5000
Ge1 0.3780 0.3780 0.0000
Ge2 0.6220 0.6220 0.0000
Ir1 0.2500 0.7500 0.5000

ΔH_f (0 K)	-0.658	eV per atom
final energy	-6.6113	eV per atom

---

DFT (PBE) results for a relaxed structure of Ba3Zn2Hg4.

Unit cell a=6.6663 b=6.6663 c=9.8108 alpha=106.11 beta=106.11 gamma=43.92
Fractional coordinates of all 9 atoms:
Ba1 0.0000 0.0000 0.0000
Ba2 0.3371 0.3371 0.3346
Ba3 0.6629 0.6629 0.6654
Zn1 0.3874 0.3874 0.7166
Zn2 0.6126 0.6126 0.2834
Hg1 0.0616 0.0616 0.3831
Hg2 0.2818 0.2818 0.9333
Hg3 0.7182 0.7182 0.0667
Hg4 0.9384 0.9384 0.6169

ΔH_f (0 K)	-0.406	eV per atom
final energy	-1.4645	eV per atom

---

DFT (PBE) results for a relaxed structure of Pr2ZnCd3.

Unit cell a=3.5155 b=5.0158 c=8.6241 alpha=90.00 beta=90.00 gamma=90.00
Fractional coordinates of all 6 atoms:
Pr1 0.0000 0.0000 0.0000
Pr2 0.0000 0.5000 0.4836
Zn1 0.5000 0.0000 0.3250
Cd1 0.5000 0.0000 0.6515
Cd2 0.5000 0.5000 0.1621
Cd3 0.5000 0.5000 0.8230

ΔH_f (0 K)	-0.328	eV per atom
final energy	-2.5907	eV per atom

---

DFT (PBE) results for a relaxed structure of Zr2Bi2F.

Unit cell a=7.5773 b=7.5773 c=4.0972 alpha=90.00 beta=90.00 gamma=90.00
Fractional coordinates of all 10 atoms:
Zr1 0.1522 0.3478 0.0000
Zr2 0.3478 0.8478 0.0000
Zr3 0.6522 0.1522 0.0000
Zr4 0.8478 0.6522 0.0000
Bi1 0.1515 0.6515 0.5000
Bi2 0.3485 0.1515 0.5000
Bi3 0.6515 0.8485 0.5000
Bi4 0.8485 0.3485 0.5000
F1 0.0000 0.0000 0.0000
F2 0.5000 0.5000 0.0000

final energy	-6.0637	eV per atom
energy relative to the elements, uncorrected	-717.8	meV per atom

---

DFT (PBE) results for a relaxed structure of BRuF2.

Unit cell a=10.6050 b=10.6050 c=10.6050 alpha=14.06 beta=14.06 gamma=14.06
Fractional coordinates of all 4 atoms:
B1 0.0000 0.0000 0.0000
Ru1 0.5000 0.5000 0.5000
F1 0.0426 0.0426 0.0426
F2 0.9574 0.9574 0.9574

final energy	-5.3165	eV per atom
energy relative to the elements, uncorrected	-392.5	meV per atom

---

no.,spin magnetization (μB/f.u.)
1,0.00
2,0.00
3,0.00
4,7.22
5,0.00
6,0.00
7,0.00
8,0.00
9,0.00
10,0.01
11,0.00
12,1.22